Hg2AsAu: optimized geometry, GGA-PBE.

Summary:
For the excess energy over the best structure of this formula in the dataset, the calculation gives 20 meV/atom. The calculation puts the total moment at 0.00 μB/cell. For the volume, the calculation gives 22.52 Å³/atom. Its density is 12.41 g cm⁻³. The value obtained for the energy of formation is 0.15 eV/atom.

Cell and atoms, written as POSCAR:
```
Hg2AsAu
1.0
2.9488 0.0000 0.0000
0.0000 5.5045 0.0000
-0.0069 0.0000 5.5505
Hg As Au
2 1 1
Cartesian
0.0000 0.0000 0.0000
1.4717 2.7523 0.0039
-0.0018 0.0000 2.7755
-0.0027 2.7523 2.7780
```

---

CdAsSeBr2: optimized geometry, GGA-PBE.

Summary:
For the excess energy over the best structure of this formula in the dataset, the calculation gives 0 meV/atom. The calculation puts the total moment at 0.00 μB/cell. For the volume, the calculation gives 28.99 Å³/atom. Its density is 4.88 g cm⁻³. The uncorrected formation energy comes out at 0.14 eV/f.u.

Cell and atoms, written as POSCAR:
```
CdAsSeBr2
1.0
5.2360 0.0000 0.0000
0.0000 5.2360 0.0000
0.0000 0.0000 5.2878
Cd As Se Br
1 1 1 2
Cartesian
0.0000 0.0000 0.0000
2.6180 2.6180 2.6439
2.6180 2.6180 0.0000
0.0000 2.6180 2.6439
2.6180 0.0000 2.6439
```

---

Y4BiTe: optimized geometry, GGA-PBE.

Summary:
The calculation puts the total moment at 0.00 μB/cell. For the volume, the calculation gives 32.42 Å³/atom. Its density is 5.91 g cm⁻³. The uncorrected formation energy comes out at -3.68 eV/f.u.

Cell and atoms, written as POSCAR:
```
Y4BiTe
1.0
4.2199 -7.6644 0.0000
4.2199 7.6644 0.0000
-3.7111 0.0000 6.0139
Y Bi Te
8 2 2
Cartesian
-0.0344 4.3286 5.6728
-0.4286 0.9909 4.4719
2.9075 4.3286 3.3480
1.4269 -0.9909 1.4650
3.3017 0.9909 4.5489
1.8212 -4.3286 2.6659
5.1572 -0.9909 1.5419
4.7630 -4.3286 0.3411
3.2921 1.6919 1.5035
1.4366 -1.6919 4.5104
1.4366 6.7454 4.5104
3.2921 -6.7454 1.5035
```

---

ScCo: optimized geometry, GGA-PBE.

Summary:
The calculation puts the total moment at 2.74 μB/cell. For the volume, the calculation gives 17.00 Å³/atom. Its density is 5.07 g cm⁻³. The value obtained for the energy of formation is -0.05 eV/atom.

Cell and atoms, written as POSCAR:
```
ScCo
1.0
3.0174 0.0000 0.0000
0.0000 3.0174 0.0000
0.0000 0.0000 7.4671
Sc Co
2 2
Cartesian
0.7544 0.7544 1.4121
2.2631 2.2631 6.0550
0.7544 0.7544 4.3253
2.2631 2.2631 3.1418
```